# 1
! PBE TbSn4Hg, optimized geometry; values from VASP
! - energy of formation (meV/atom) = -137
! - spin magnetization (μB/f.u.) = 0.000
! - raw total energy (eV per atom) = -3.63
&SYSTEM
  ibrav = 0, nat = 6, ntyp = 3
/
ATOMIC_SPECIES
Tb 158.93 Tb.upf
Hg 200.59 Hg.upf
Sn 118.71 Sn.upf
CELL_PARAMETERS angstrom
-2.176 -5.624 -1.287
2.411 -4.949 2.777
-3.284 -3.075 4.217
ATOMIC_POSITIONS crystal
Tb 0.250 0.250 0.250
Hg 0.000 0.000 0.000
Sn 0.625 0.625 0.125
Sn 0.625 0.125 0.625
Sn 0.625 0.625 0.625
Sn 0.125 0.625 0.625

=====

# 2
! PBE Tb4SnHgTe2, optimized geometry; values from VASP
! - spin magnetization (μB/f.u.) = 0.000
! - formation energy (no corrections) (eV/atom) = -0.95
! - raw total energy (eV per atom) = -4.59
&SYSTEM
  ibrav = 0, nat = 8, ntyp = 4
/
ATOMIC_SPECIES
Tb 158.93 Tb.upf
Sn 118.71 Sn.upf
Hg 200.59 Hg.upf
Te 127.60 Te.upf
CELL_PARAMETERS angstrom
-2.579 3.250 1.193
-5.841 -2.955 -4.574
-3.952 -4.600 3.990
ATOMIC_POSITIONS crystal
Tb 0.000 0.748 0.752
Tb 0.000 0.252 0.248
Tb 0.500 0.745 0.253
Tb 0.500 0.255 0.747
Sn 0.000 0.500 0.500
Hg 0.500 0.500 0.000
Te 0.000 0.000 0.000
Te 0.500 0.000 0.500